*a*
VASP calculation (PBE-GGA) on an optimized crystal structure of Nd2GeH.

M_tot   0.00 μB per formula unit
Mass density   6.2 g/cm3
Space group   P3_121
Crystal system   trigonal

The structure in CIF format:
```
data_Nd2GeH
_chemical_formula_sum 'Nd6 Ge3 H3'
_space_group_name_H-M_alt 'P 1'
_space_group_IT_number 1
_space_group_name_Hall 'P 1'
_cell_length_a 6.358
_cell_length_b 6.358
_cell_length_c 8.329
_cell_angle_alpha 90.00
_cell_angle_beta 90.00
_cell_angle_gamma 120.00
loop_
_atom_site_label
_atom_site_type_symbol
_atom_site_fract_x
_atom_site_fract_y
_atom_site_fract_z
Nd1 Nd 0.891 0.284 0.954
Nd2 Nd 0.716 0.608 0.287
Nd3 Nd 0.284 0.891 0.046
Nd4 Nd 0.608 0.716 0.713
Nd5 Nd 0.392 0.109 0.620
Nd6 Nd 0.109 0.392 0.380
H1 H 0.546 0.000 0.833
H2 H 0.000 0.546 0.167
H3 H 0.454 0.454 0.500
Ge1 Ge 0.598 0.000 0.333
Ge2 Ge 0.000 0.598 0.667
Ge3 Ge 0.402 0.402 0.000
```

***

*b*
VASP calculation (PBE-GGA) on an optimized crystal structure of Nd2GeH.

M_tot   0.00 μB per formula unit
Mass density   7.1 g/cm3
Space group   P4/mmm
Crystal system   tetragonal

The structure in CIF format:
```
data_Nd2GeH
_chemical_formula_sum 'Nd2 Ge1 H1'
_space_group_name_H-M_alt 'P 1'
_space_group_IT_number 1
_space_group_name_Hall 'P 1'
_cell_length_a 3.424
_cell_length_b 3.424
_cell_length_c 7.265
_cell_angle_alpha 90.00
_cell_angle_beta 90.00
_cell_angle_gamma 90.00
loop_
_atom_site_label
_atom_site_type_symbol
_atom_site_fract_x
_atom_site_fract_y
_atom_site_fract_z
Nd1 Nd 0.000 0.000 0.237
Nd2 Nd 0.000 0.000 0.763
Ge1 Ge 0.500 0.500 0.500
H1 H 0.500 0.500 0.000
```

***

*c*
VASP calculation (PBE-GGA) on an optimized crystal structure of Nd2GeH.

M_tot   0.00 μB per formula unit
Mass density   6.4 g/cm3
Space group   R-3m
Crystal system   trigonal

The structure in CIF format:
```
data_Nd2GeH
_chemical_formula_sum 'Nd2 Ge1 H1'
_space_group_name_H-M_alt 'P 1'
_space_group_IT_number 1
_space_group_name_Hall 'P 1'
_cell_length_a 4.229
_cell_length_b 4.229
_cell_length_c 6.509
_cell_angle_alpha 71.05
_cell_angle_beta 71.05
_cell_angle_gamma 60.00
loop_
_atom_site_label
_atom_site_type_symbol
_atom_site_fract_x
_atom_site_fract_y
_atom_site_fract_z
Ge1 Ge 0.000 0.000 0.000
Nd1 Nd 0.756 0.756 0.732
Nd2 Nd 0.244 0.244 0.268
H1 H 0.500 0.500 0.500
```

***

Tell me which of them is the least stable. Sure, it is *b*.